Compound: LaCo5
Source: Alexandria
Functional: GGA-PBE
Structure: optimized geometry

abc: 6.110 6.110 3.818
angles: 90.00 90.00 143.62
Site moments in Bohr magnetons follow the coordinates.
Atoms (fractional coordinates):
La 0.000 0.000 0.000  -0.21
Co 0.190 0.810 0.500  1.51
Co 0.311 0.689 0.000  1.60
Co 0.500 0.500 0.500  0.69
Co 0.689 0.311 0.000  1.60
Co 0.810 0.190 0.500  1.51

Properties
spin magnetization	6.47	μB per formula unit
E	-39.21	eV for the cell shown